DFT (PBE) results for a relaxed Zr2AsS2 crystal.

## Properties
**Formation energy without anion corrections**: -1.18 eV per atom
**Symmetry**: P4/mbm
**DOS(E_F)**: 2.319 states/eV/f.u.
**Spin magnetization**: 0.00 μB/f.u.

Lattice parameters (Å, degrees): 7.3463 7.3463 3.3915 90.00 90.00 90.00
Closest atoms and distances in Å follow each position.
Positions (direct):
As1 0.0000 0.0000 0.0000  4 Zr 2.78
As2 0.5000 0.5000 0.0000  4 Zr 2.78
S1 0.1344 0.6344 0.5000  6 Zr 2.72-2.78, 1 S 2.79
S2 0.6344 0.8656 0.5000  6 Zr 2.72-2.78, 1 S 2.79
S3 0.8656 0.3656 0.5000  6 Zr 2.72-2.78, 1 S 2.79
S4 0.3656 0.1344 0.5000  6 Zr 2.72-2.78, 1 S 2.79
Zr1 0.3460 0.8460 0.0000  6 S 2.72-2.78, 2 As 2.78
Zr2 0.8460 0.6540 0.0000  6 S 2.72-2.78, 2 As 2.78
Zr3 0.6540 0.1540 0.0000  6 S 2.72-2.78, 2 As 2.78
Zr4 0.1540 0.3460 0.0000  6 S 2.72-2.78, 2 As 2.78

DFT (PBE) results for a relaxed Ba3In6Sn2Pb crystal.

## Properties
**E_form**: -22 kJ per mole of atoms
**Symmetry**: P-3m1
**DOS(E_F)**: 7.144 states/eV/f.u.
**Spin magnetization**: 0.00 μB/f.u.

Lattice parameters (Å, degrees): 6.2950 6.2950 12.0483 90.00 90.00 120.00
Closest atoms and distances in Å follow each position.
Positions (direct):
Ba1 0.3333 0.6667 0.5656  3 Pb 3.72, 9 In 3.73-4.00, 3 Ba 3.96
Ba2 0.6667 0.3333 0.4344  3 Pb 3.72, 9 In 3.73-4.00, 3 Ba 3.96
Ba3 0.0000 0.0000 0.0000  6 Sn 3.69, 6 In 3.72
In1 0.6636 0.8318 0.2689  4 In 3.12-3.18, 1 Sn 3.14, 1 Pb 3.33
In2 0.1682 0.3364 0.2689  4 In 3.12-3.18, 1 Sn 3.14, 1 Pb 3.33
In3 0.1682 0.8318 0.2689  4 In 3.12-3.18, 1 Sn 3.14, 1 Pb 3.33
In4 0.8318 0.6636 0.7311  4 In 3.12-3.18, 1 Sn 3.14, 1 Pb 3.33
In5 0.3364 0.1682 0.7311  4 In 3.12-3.18, 1 Sn 3.14, 1 Pb 3.33
In6 0.8318 0.1682 0.7311  4 In 3.12-3.18, 1 Sn 3.14, 1 Pb 3.33
Sn1 0.6667 0.3333 0.9449  3 In 3.14
Sn2 0.3333 0.6667 0.0551  3 In 3.14
Pb1 0.0000 0.0000 0.5000  6 In 3.33, 6 Ba 3.72

DFT (PBE) results for a relaxed Sc5In2Co2Pd crystal.

## Properties
**E_form**: -46 kJ per mole of atoms
**Symmetry**: P4/mbm
**DOS(E_F)**: 5.732 states/eV/f.u.
**Spin magnetization**: 0.00 μB/f.u.

Lattice parameters (Å, degrees): 3.2920 10.8299 10.8299 90.00 90.00 90.00
Closest atoms and distances in Å follow each position.
Positions (direct):
Sc1 0.5000 0.2039 0.0722  2 Co 2.50
Sc2 0.5000 0.7961 0.9278  2 Co 2.50
Sc3 0.5000 0.0722 0.7961  2 Co 2.50
Sc4 0.5000 0.7039 0.4278  2 Co 2.50
Sc5 0.5000 0.9278 0.2039  2 Co 2.50
Sc6 0.5000 0.2961 0.5722  2 Co 2.50
Sc7 0.5000 0.5722 0.7039  2 Co 2.50
Sc8 0.5000 0.4278 0.2961  2 Co 2.50
Sc9 0.5000 0.5000 0.0000  4 Co 2.62
Sc10 0.5000 0.0000 0.5000  4 Co 2.62
In1 0.0000 0.6732 0.1732  1 Co 2.97, 6 Sc 3.12-3.23, 2 In 3.29
In2 0.0000 0.3268 0.8268  1 Co 2.97, 6 Sc 3.12-3.23, 2 In 3.29
In3 0.0000 0.1732 0.3268  1 Co 2.97, 6 Sc 3.12-3.23, 2 In 3.29
In4 0.0000 0.8268 0.6732  1 Co 2.97, 6 Sc 3.12-3.23, 2 In 3.29
Co1 0.0000 0.1327 0.6327  6 Sc 2.50-2.62
Co2 0.0000 0.8673 0.3673  6 Sc 2.50-2.62
Co3 0.0000 0.6327 0.8673  6 Sc 2.50-2.62
Co4 0.0000 0.3673 0.1327  6 Sc 2.50-2.62
Pd1 0.0000 0.0000 0.0000  8 Sc 2.86
Pd2 0.0000 0.5000 0.5000  8 Sc 2.86

DFT (PBE) results for a relaxed TlNiOs2 crystal.

## Properties
**E_form**: 82 kJ per mole of atoms
**Distance to the lowest polymorph of the same formula**: 378 meV per atom
**Symmetry**: Cmm2
**DOS(E_F)**: 4.827 states/eV/f.u.
**Spin magnetization**: 0.91 μB/f.u.

Lattice parameters (Å, degrees): 2.8252 2.8252 9.2528 90.00 90.00 118.94
Closest atoms and distances in Å follow each position.
Positions (direct):
Ni1 0.5000 0.5000 0.7671  2 Os 2.53, 2 Tl 2.75, 4 Ni 2.83
Os1 0.0000 0.0000 0.9922  2 Ni 2.53, 6 Os 2.61-2.83
Os2 0.5000 0.5000 0.2273  8 Os 2.61-2.87
Tl1 0.0000 0.0000 0.5134  2 Ni 2.75, 6 Tl 2.83-2.87, 2 Os 3.01

DFT (PBE) results for a relaxed GdTmCd2 crystal.

## Properties
**E_form**: -32 kJ per mole of atoms
**Distance to the lowest polymorph of the same formula**: 2 meV per atom
**Symmetry**: Fm-3m
**DOS(E_F)**: 3.713 states/eV/f.u.
**Spin magnetization**: 7.73 μB/f.u.

Lattice parameters (Å, degrees): 5.2795 5.2795 5.2795 60.00 60.00 60.00
Closest atoms and distances in Å follow each position.
Positions (direct):
Gd1 0.5000 0.5000 0.5000  8 Cd 3.23
Tm1 0.0000 0.0000 0.0000  8 Cd 3.23
Cd1 0.7500 0.7500 0.7500  4 Gd 3.23, 4 Tm 3.23
Cd2 0.2500 0.2500 0.2500  4 Tm 3.23, 4 Gd 3.23

DFT (PBE) results for a relaxed SmSnPt5 crystal.

## Properties
**E_form**: -65 kJ per mole of atoms
**Symmetry**: Pnma
**DOS(E_F)**: 4.353 states/eV/f.u.
**Spin magnetization**: 0.00 μB/f.u.

Lattice parameters (Å, degrees): 5.4786 8.8326 10.8626 90.00 90.00 90.00
Closest atoms and distances in Å follow each position.
Positions (direct):
Sm1 0.2500 0.2513 0.9485  9 Pt 3.07-3.43, 1 Sn 3.36
Sm2 0.7500 0.2487 0.4485  9 Pt 3.07-3.43, 1 Sn 3.36
Sm3 0.2500 0.7513 0.5515  9 Pt 3.07-3.43, 1 Sn 3.36
Sm4 0.7500 0.7487 0.0515  9 Pt 3.07-3.43, 1 Sn 3.36
Sn1 0.2500 0.8461 0.8510  6 Pt 2.60-2.90
Sn2 0.7500 0.6539 0.3510  6 Pt 2.60-2.90
Sn3 0.2500 0.3461 0.6490  6 Pt 2.60-2.90
Sn4 0.7500 0.1539 0.1490  6 Pt 2.60-2.90
Pt1 0.2500 0.5950 0.0176  5 Pt 2.75-2.81, 1 Sn 2.86
Pt2 0.7500 0.9050 0.5176  5 Pt 2.75-2.81, 1 Sn 2.86
Pt3 0.2500 0.0950 0.4824  5 Pt 2.75-2.81, 1 Sn 2.86
Pt4 0.7500 0.4050 0.9824  5 Pt 2.75-2.81, 1 Sn 2.86
Pt5 0.7500 0.3126 0.7370  6 Pt 2.65-2.79, 2 Sn 2.92
Pt6 0.2500 0.1874 0.2370  6 Pt 2.65-2.79, 2 Sn 2.92
Pt7 0.7500 0.8126 0.7630  6 Pt 2.65-2.79, 2 Sn 2.92
Pt8 0.2500 0.6874 0.2630  6 Pt 2.65-2.79, 2 Sn 2.92
Pt9 0.2500 0.9424 0.0773  1 Sn 2.60, 3 Pt 2.77-2.78
Pt10 0.7500 0.5576 0.5773  1 Sn 2.60, 3 Pt 2.77-2.78
Pt11 0.2500 0.4424 0.4227  1 Sn 2.60, 3 Pt 2.77-2.78
Pt12 0.7500 0.0576 0.9227  1 Sn 2.60, 3 Pt 2.77-2.78
Pt13 0.9931 0.4385 0.2018  7 Pt 2.65-2.81, 2 Sn 2.83-2.90
Pt14 0.0069 0.0615 0.7018  7 Pt 2.65-2.81, 2 Sn 2.83-2.90
Pt15 0.5069 0.9385 0.2982  7 Pt 2.65-2.81, 2 Sn 2.83-2.90
Pt16 0.4931 0.5615 0.7982  7 Pt 2.65-2.81, 2 Sn 2.83-2.90
Pt17 0.0069 0.5615 0.7982  7 Pt 2.65-2.81, 2 Sn 2.83-2.90
Pt18 0.9931 0.9385 0.2982  7 Pt 2.65-2.81, 2 Sn 2.83-2.90
Pt19 0.4931 0.0615 0.7018  7 Pt 2.65-2.81, 2 Sn 2.83-2.90
Pt20 0.5069 0.4385 0.2018  7 Pt 2.65-2.81, 2 Sn 2.83-2.90

DFT (PBE) results for a relaxed AcTb7Ho3 crystal.

## Properties
**E_form**: 14 kJ per mole of atoms
**Distance to the lowest polymorph of the same formula**: 0 meV per atom
**Symmetry**: P2/m
**DOS(E_F)**: 15.695 states/eV/f.u.
**Spin magnetization**: 0.00 μB/f.u.

Lattice parameters (Å, degrees): 8.9869 9.8523 5.6099 90.01 128.60 104.37
Closest atoms and distances in Å follow each position.
Positions (direct):
Ac1 0.5000 0.5000 0.5000  2 Ho 3.51, 10 Tb 3.65-3.82
Tb1 0.9331 0.8334 0.9332  3 Tb 3.11-3.31, 1 Ho 3.46
Tb2 0.8345 0.6450 0.3344  5 Tb 3.31-3.63, 3 Ho 3.51-3.59, 2 Ac 3.65
Tb3 0.6459 0.2887 0.1458  2 Ho 3.31-3.35, 3 Tb 3.33-3.63
Tb4 0.3541 0.7113 0.8542  2 Ho 3.31-3.35, 3 Tb 3.33-3.63
Tb5 0.5000 0.0000 0.5000  4 Ho 3.42, 2 Tb 3.79
Tb6 0.1655 0.3550 0.6656  5 Tb 3.31-3.63, 3 Ho 3.51-3.59, 2 Ac 3.65
Tb7 0.0669 0.1666 0.0668  3 Tb 3.11-3.31, 1 Ho 3.46
Ho1 0.2251 0.0064 0.7252  1 Ho 3.12, 4 Tb 3.31-3.42
Ho2 0.0000 0.5000 0.0000  6 Tb 3.46-3.51, 2 Ac 3.51
Ho3 0.7749 0.9936 0.2748  1 Ho 3.12, 4 Tb 3.31-3.42

DFT (PBE) results for a relaxed K3Sr2 crystal.

## Properties
**E_form**: 22 kJ per mole of atoms
**Distance to the lowest polymorph of the same formula**: 188 meV per atom
**Symmetry**: R-3c
**DOS(E_F)**: 5.948 states/eV/f.u.
**Spin magnetization**: 0.00 μB/f.u.

Lattice parameters (Å, degrees): 12.5251 12.5251 8.9746 45.75 45.75 60.00
Closest atoms and distances in Å follow each position.
Positions (direct):
Sr1 0.8753 0.8753 0.3740  2 Sr 3.98-4.00, 3 K 4.29
Sr2 0.3753 0.3753 0.8740  2 Sr 3.98-4.00, 3 K 4.29
Sr3 0.1247 0.1247 0.6260  2 Sr 3.98-4.00, 3 K 4.29
Sr4 0.6247 0.6247 0.1260  2 Sr 3.98-4.00, 3 K 4.29
K1 0.0733 0.7500 0.7500  4 Sr 4.29-4.52
K2 0.7500 0.4267 0.7500  4 Sr 4.29-4.52
K3 0.4267 0.0733 0.7500  4 Sr 4.29-4.52
K4 0.2500 0.5733 0.2500  4 Sr 4.29-4.52
K5 0.5733 0.9267 0.2500  4 Sr 4.29-4.52
K6 0.9267 0.2500 0.2500  4 Sr 4.29-4.52